[1]
# TcAu2S

A relaxed structure of TcAu2S (GGA-PBE, Alexandria via LeMat-Bulk).

Geometry as extended XYZ:
```
16
Lattice="6.591 0.000 0.000 0.000 6.591 0.000 0.000 0.000 6.591" Properties=species:S:1:pos:R:3 pbc="T T T"
Tc 0.000 0.000 0.000
Tc 0.000 3.296 3.296
Tc 3.296 0.000 3.296
Tc 3.296 3.296 0.000
Au 1.648 1.648 1.648
Au 1.648 1.648 4.944
Au 1.648 4.944 1.648
Au 1.648 4.944 4.944
Au 4.944 1.648 1.648
Au 4.944 1.648 4.944
Au 4.944 4.944 1.648
Au 4.944 4.944 4.944
S 0.000 0.000 3.296
S 0.000 3.296 0.000
S 3.296 0.000 0.000
S 3.296 3.296 3.296
```

Output
Excess energy over the best structure of this formula in the dataset in meV/atom: 257.8
Space-group type: Fm-3m, No. 225
V in A^3/atom: 17.90
E_form (uncorrected) in meV per atom: 802


[2]
# CaTmPtO4

A relaxed structure of CaTmPtO4 (GGA-PBE, Alexandria via LeMat-Bulk).

Geometry as extended XYZ:
```
14
Lattice="-3.271 3.387 4.664 3.271 -3.387 4.664 3.271 3.387 -4.664" Properties=species:S:1:pos:R:3 pbc="T T T"
Ca 0.000 1.693 1.314
Ca 3.271 1.693 3.350
Tm 3.271 0.000 0.000
Tm 0.000 0.000 4.664
Pt 1.635 1.693 -2.332
Pt 1.635 -1.693 2.332
O 3.271 -0.383 2.263
O 3.271 3.004 -2.263
O 1.858 1.693 0.194
O 4.683 1.693 0.194
O -1.412 1.693 4.470
O 1.412 1.693 4.470
O 0.000 0.383 6.927
O 0.000 3.769 2.400
```

Output
Space-group type: Imma, No. 74
V in A^3/atom: 14.76
E_form (uncorrected) in meV per atom: -2172


[3]
# Al5H2Pd12

A relaxed structure of Al5H2Pd12 (GGA-PBE, Alexandria via LeMat-Bulk).

Geometry as extended XYZ:
```
19
Lattice="7.204 -2.791 0.000 7.204 2.791 0.000 -3.307 0.000 6.741" Properties=species:S:1:pos:R:3 pbc="T T T"
Al 0.000 0.000 0.000
Al 1.862 0.000 3.350
Al 3.996 0.000 0.880
Al 7.104 0.000 5.861
Al 9.238 0.000 3.391
H 5.550 2.145 3.370
H 5.550 -2.145 3.370
Pd 2.064 1.364 5.523
Pd -0.926 0.000 5.660
Pd 4.054 1.340 3.251
Pd 7.046 1.340 3.490
Pd 9.036 1.364 1.218
Pd 6.412 0.000 1.122
Pd 4.689 0.000 5.618
Pd 2.064 -1.364 5.523
Pd 4.054 -1.340 3.251
Pd 7.046 -1.340 3.490
Pd 12.026 0.000 1.081
Pd 9.036 -1.364 1.218
```

Output
VASP energy in eV per atom: -5.12
Space-group type: C2/m, No. 12
V in A^3/atom: 14.26


[4]
# ZnGaCuPd

A relaxed structure of ZnGaCuPd (GGA-PBE, Alexandria via LeMat-Bulk).

Geometry as extended XYZ:
```
16
Lattice="6.095 0.000 0.000 0.000 6.095 0.000 0.000 0.000 6.095" Properties=species:S:1:pos:R:3 pbc="T T T"
Zn 0.000 0.000 0.000
Zn 0.000 3.047 3.047
Zn 3.047 0.000 3.047
Zn 3.047 3.047 0.000
Ga 0.000 0.000 3.047
Ga 0.000 3.047 0.000
Ga 3.047 0.000 0.000
Ga 3.047 3.047 3.047
Cu 1.524 1.524 4.571
Cu 1.524 4.571 1.524
Cu 4.571 1.524 1.524
Cu 4.571 4.571 4.571
Pd 1.524 1.524 1.524
Pd 1.524 4.571 4.571
Pd 4.571 1.524 4.571
Pd 4.571 4.571 1.524
```

Output
Energy of formation from the pure elements in eV/atom: -0.32
Excess energy over the best structure of this formula in the dataset in meV/atom: 0.0
Space-group type: F-43m, No. 216
V in A^3/atom: 14.15